one.
! Mg2NbRh2 PBE relaxed; values from VASP
! Crystal system: tetragonal
! Density, g/cm3: 7.00
! Fermi-level density of states, states/eV/atom: 0.757
&SYSTEM
  ibrav = 0, nat = 10, ntyp = 3
/
ATOMIC_SPECIES
Mg 24.30 Mg.upf
Nb 92.91 Nb.upf
Rh 102.91 Rh.upf
CELL_PARAMETERS angstrom
7.304 0.000 0.000
0.000 7.304 0.000
0.000 0.000 3.091
ATOMIC_POSITIONS crystal
Mg 0.140 0.360 0.000
Mg 0.360 0.860 0.000
Mg 0.640 0.140 0.000
Mg 0.860 0.640 0.000
Nb 0.000 0.000 0.500
Nb 0.500 0.500 0.500
Rh 0.159 0.659 0.500
Rh 0.341 0.159 0.500
Rh 0.659 0.841 0.500
Rh 0.841 0.341 0.500

---

two.
! Mg2NbRh2 PBE relaxed; values from VASP
! Crystal system: orthorhombic
! Density, g/cm3: 6.50
! Fermi-level density of states, states/eV/atom: 0.711
&SYSTEM
  ibrav = 0, nat = 10, ntyp = 3
/
ATOMIC_SPECIES
Mg 24.30 Mg.upf
Nb 92.91 Nb.upf
Rh 102.91 Rh.upf
CELL_PARAMETERS angstrom
3.041 0.000 0.000
0.000 19.358 0.000
0.000 0.000 3.016
ATOMIC_POSITIONS crystal
Mg 0.000 0.176 0.000
Mg 0.000 0.824 0.000
Mg 0.500 0.324 0.000
Mg 0.500 0.676 0.000
Nb 0.000 0.000 0.000
Nb 0.500 0.500 0.000
Rh 0.000 0.411 0.500
Rh 0.000 0.589 0.500
Rh 0.500 0.089 0.500
Rh 0.500 0.911 0.500

---

Name the least stable of them. one.

---

one.
! MgNbRh3 PBE relaxed; values from VASP
! Crystal system: orthorhombic
! Density, g/cm3: 8.70
! Fermi-level density of states, states/eV/atom: 0.623
&SYSTEM
  ibrav = 0, nat = 20, ntyp = 3
/
ATOMIC_SPECIES
Mg 24.30 Mg.upf
Nb 92.91 Nb.upf
Rh 102.91 Rh.upf
CELL_PARAMETERS angstrom
7.058 0.000 0.000
0.000 7.125 0.000
0.000 0.000 6.467
ATOMIC_POSITIONS crystal
Mg 0.159 0.250 0.096
Mg 0.341 0.750 0.596
Mg 0.659 0.250 0.404
Mg 0.841 0.750 0.904
Nb 0.000 0.000 0.500
Nb 0.000 0.500 0.500
Nb 0.500 0.000 0.000
Nb 0.500 0.500 0.000
Rh 0.106 0.750 0.235
Rh 0.154 0.551 0.866
Rh 0.154 0.949 0.866
Rh 0.346 0.051 0.366
Rh 0.346 0.449 0.366
Rh 0.394 0.250 0.735
Rh 0.606 0.750 0.265
Rh 0.654 0.551 0.634
Rh 0.654 0.949 0.634
Rh 0.846 0.051 0.134
Rh 0.846 0.449 0.134
Rh 0.894 0.250 0.765

---

two.
! MgNbRh3 PBE relaxed; values from VASP
! Crystal system: cubic
! Density, g/cm3: 8.30
! Fermi-level density of states, states/eV/atom: 0.187
&SYSTEM
  ibrav = 0, nat = 5, ntyp = 3
/
ATOMIC_SPECIES
Mg 24.30 Mg.upf
Nb 92.91 Nb.upf
Rh 102.91 Rh.upf
CELL_PARAMETERS angstrom
4.400 0.000 0.000
0.000 4.400 0.000
0.000 0.000 4.400
ATOMIC_POSITIONS crystal
Mg 0.000 0.000 0.000
Nb 0.500 0.500 0.500
Rh 0.000 0.000 0.500
Rh 0.000 0.500 0.000
Rh 0.500 0.000 0.000

---

Name the least stable of them. two.

---

one.
! Mg2NbRh PBE relaxed; values from VASP
! Crystal system: tetragonal
! Density, g/cm3: 5.42
! Fermi-level density of states, states/eV/atom: 0.770
&SYSTEM
  ibrav = 0, nat = 16, ntyp = 3
/
ATOMIC_SPECIES
Mg 24.30 Mg.upf
Nb 92.91 Nb.upf
Rh 102.91 Rh.upf
CELL_PARAMETERS angstrom
7.498 0.000 0.000
0.000 7.498 0.000
0.000 0.000 5.324
ATOMIC_POSITIONS crystal
Mg 0.213 0.250 0.125
Mg 0.250 0.713 0.375
Mg 0.250 0.787 0.875
Mg 0.287 0.250 0.625
Mg 0.713 0.750 0.625
Mg 0.750 0.213 0.875
Mg 0.750 0.287 0.375
Mg 0.787 0.750 0.125
Nb 0.000 0.000 0.500
Nb 0.000 0.500 0.750
Nb 0.500 0.000 0.250
Nb 0.500 0.500 0.000
Rh 0.000 0.000 0.000
Rh 0.000 0.500 0.250
Rh 0.500 0.000 0.750
Rh 0.500 0.500 0.500

---

two.
! Mg2NbRh PBE relaxed; values from VASP
! Crystal system: cubic
! Density, g/cm3: 5.95
! Fermi-level density of states, states/eV/atom: 1.482
&SYSTEM
  ibrav = 0, nat = 16, ntyp = 3
/
ATOMIC_SPECIES
Mg 24.30 Mg.upf
Nb 92.91 Nb.upf
Rh 102.91 Rh.upf
CELL_PARAMETERS angstrom
6.488 0.000 0.000
0.000 6.488 0.000
0.000 0.000 6.488
ATOMIC_POSITIONS crystal
Mg 0.250 0.250 0.250
Mg 0.250 0.250 0.750
Mg 0.250 0.750 0.250
Mg 0.250 0.750 0.750
Mg 0.750 0.250 0.250
Mg 0.750 0.250 0.750
Mg 0.750 0.750 0.250
Mg 0.750 0.750 0.750
Nb 0.000 0.000 0.000
Nb 0.000 0.500 0.500
Nb 0.500 0.000 0.500
Nb 0.500 0.500 0.000
Rh 0.000 0.000 0.500
Rh 0.000 0.500 0.000
Rh 0.500 0.000 0.000
Rh 0.500 0.500 0.500

---

Name the least stable of them. one.